Ni2GeP: optimized geometry, PBE.

POSCAR file:
```
Ni2GeP
1.0
-2.8007 2.8007 4.2753
2.8007 -2.8007 4.2753
2.8007 2.8007 -4.2753
Ni Ge P
4 2 2
direct
0.0950 0.6250 0.9700 Ni
0.3750 0.3450 0.4700 Ni
0.6550 0.1250 0.0300 Ni
0.8750 0.9050 0.5300 Ni
0.2500 0.7500 0.5000 Ge
0.5000 0.5000 0.0000 Ge
0.0000 0.0000 0.0000 P
0.7500 0.2500 0.5000 P
```

Summary:
Its raw total energy is -5.363 eV per atom. As for the crystal system: tetragonal. Its energy above the most stable polymorph in this dataset is 0.427 eV per atom. Its formation energy is 0.034 eV per atom.

---

BaCoAgP2: optimized geometry, PBE.

POSCAR file:
```
BaCoAgP2
1.0
5.6137 0.0000 0.0000
0.0000 5.6137 0.0000
0.0000 0.0000 5.7691
Ba Co Ag P
1 1 1 2
direct
0.0000 0.0000 0.0000 Ba
0.5000 0.5000 0.5000 Co
0.0000 0.0000 0.5000 Ag
0.0000 0.5000 0.0000 P
0.5000 0.0000 0.0000 P
```

Summary:
Its raw total energy is -2.679 eV per atom. As for the crystal system: tetragonal. Its formation energy is 1.861 eV per atom.

---

Tb9Pm2Er: optimized geometry, PBE.

POSCAR file:
```
Tb9Pm2Er
1.0
5.0498 0.0000 0.0000
0.0000 5.0498 0.0000
0.0000 0.0000 15.1477
Tb Pm Er
9 2 1
direct
0.0000 0.0000 0.0000 Tb
0.0000 0.0000 0.3320 Tb
0.0000 0.0000 0.6680 Tb
0.0000 0.5000 0.1647 Tb
0.0000 0.5000 0.5000 Tb
0.0000 0.5000 0.8353 Tb
0.5000 0.0000 0.1647 Tb
0.5000 0.0000 0.5000 Tb
0.5000 0.0000 0.8353 Tb
0.5000 0.5000 0.3324 Pm
0.5000 0.5000 0.6676 Pm
0.5000 0.5000 0.0000 Er
```

Summary:
Its raw total energy is -4.625 eV per atom. As for the crystal system: tetragonal. Its energy above the most stable polymorph in this dataset is 0.000 eV per atom. Its formation energy is 0.020 eV per atom.

---

GaPHIrPtS: optimized geometry, PBE.

POSCAR file:
```
GaPHIrPtS
1.0
3.5751 0.0000 0.0000
1.5991 5.2393 0.0000
1.2127 1.9784 4.9709
Ga P H Ir Pt S
1 1 1 1 1 1
direct
0.0000 0.0000 0.0000 Ga
0.1182 0.5004 0.1948 P
0.9334 0.4474 0.7319 H
0.6836 0.2204 0.3647 Ir
0.4223 0.4057 0.7984 Pt
0.2495 0.9099 0.5886 S
```

Summary:
Its raw total energy is -5.329 eV per atom. As for the crystal system: triclinic. Its energy above the most stable polymorph in this dataset is 0.139 eV per atom.

---

Tl2WSe2Cl4: optimized geometry, PBE.

POSCAR file:
```
Tl2WSe2Cl4
1.0
6.3880 -3.4380 0.0000
6.3880 3.4380 0.0000
-0.3067 0.0000 5.9502
Tl W Se Cl
2 1 2 4
direct
0.1971 0.1971 0.1997 Tl
0.8029 0.8029 0.8003 Tl
0.5000 0.5000 0.0000 W
0.3383 0.3383 0.7654 Se
0.6617 0.6617 0.2346 Se
0.1851 0.6743 0.2321 Cl
0.3257 0.8149 0.7679 Cl
0.6743 0.1851 0.2321 Cl
0.8149 0.3257 0.7679 Cl
```

Summary:
The uncorrected formation energy is -0.63 eV per atom. Its raw total energy is -4.194 eV per atom. As for the crystal system: monoclinic.

---

Li2PmTl4: optimized geometry, PBE.

POSCAR file:
```
Li2PmTl4
1.0
4.8170 -3.8258 0.0000
4.8170 3.8258 0.0000
-3.7012 0.0000 4.7847
Li Pm Tl
2 1 4
direct
0.0011 0.0011 0.2507 Li
0.9989 0.9989 0.7493 Li
0.5000 0.5000 0.5000 Pm
0.0954 0.4986 0.7970 Tl
0.4986 0.0954 0.7970 Tl
0.5014 0.9046 0.2030 Tl
0.9046 0.5014 0.2030 Tl
```

Summary:
Its raw total energy is -2.764 eV per atom. As for the crystal system: monoclinic. Its formation energy is -0.186 eV per atom.

---

SmY4In5: optimized geometry, PBE.

POSCAR file:
```
SmY4In5
1.0
3.7701 0.0000 0.0000
0.0000 3.7701 0.0000
0.0000 0.0000 18.9744
Sm Y In
1 4 5
direct
0.0000 0.0000 0.0000 Sm
0.0000 0.0000 0.2030 Y
0.0000 0.0000 0.4010 Y
0.0000 0.0000 0.5990 Y
0.0000 0.0000 0.7970 Y
0.5000 0.5000 0.1043 In
0.5000 0.5000 0.3020 In
0.5000 0.5000 0.5000 In
0.5000 0.5000 0.6980 In
0.5000 0.5000 0.8957 In
```

Summary:
Its raw total energy is -4.924 eV per atom. As for the crystal system: tetragonal. Its formation energy is -0.497 eV per atom.

---

V4Sn2N: optimized geometry, PBE.

POSCAR file:
```
V4Sn2N
1.0
-2.0078 2.0078 6.7701
2.0078 -2.0078 6.7701
2.0078 2.0078 -6.7701
V Sn N
4 2 1
direct
0.0000 0.5000 0.5000 V
0.1408 0.1408 0.0000 V
0.5000 0.0000 0.5000 V
0.8592 0.8592 0.0000 V
0.3470 0.3470 0.0000 Sn
0.6530 0.6530 0.0000 Sn
0.0000 0.0000 0.0000 N
```

Summary:
The uncorrected formation energy is -0.29 eV per atom. Its raw total energy is -7.835 eV per atom. As for the crystal system: tetragonal.